A geometry-optimized KMnIr2 structure. Source: Alexandria via LeMat-Bulk, functional PBE. Values from VASP.

Values from the calculation:
VASP energy: -6.11 eV/atom
magnetization: 4.13 μB/f.u.
polymorph energy (0 for the lowest one): 552 meV/atom
DFT formation energy: 0.887 eV/atom

Structure (Quantum ESPRESSO input):
```
&SYSTEM
  ibrav = 0, nat = 8, ntyp = 3
/
ATOMIC_SPECIES
K 39.10 K.upf
Mn 54.94 Mn.upf
Ir 192.22 Ir.upf
ATOMIC_POSITIONS angstrom
K 0.0000 0.0000 0.0000
K 2.9162 4.6118 0.0000
Mn 0.0000 4.6118 0.0000
Mn 2.9162 0.0000 0.0000
Ir 1.4581 2.3059 1.2993
Ir 1.4581 6.9177 1.2993
Ir 4.3743 2.3059 1.2993
Ir 4.3743 6.9177 1.2993
CELL_PARAMETERS angstrom
5.8324 0.0000 0.0000
0.0000 9.2235 0.0000
0.0000 0.0000 2.5986
```


A geometry-optimized KMnIr2 structure. Source: Alexandria via LeMat-Bulk, functional PBE. Values from VASP.

Values from the calculation:
VASP energy: -6.56 eV/atom
magnetization: 4.39 μB/f.u.
polymorph energy (0 for the lowest one): 100 meV/atom
DFT formation energy: 0.434 eV/atom

Structure (Quantum ESPRESSO input):
```
&SYSTEM
  ibrav = 0, nat = 8, ntyp = 3
/
ATOMIC_SPECIES
K 39.10 K.upf
Mn 54.94 Mn.upf
Ir 192.22 Ir.upf
ATOMIC_POSITIONS angstrom
K 0.0000 0.0000 0.0000
K 1.4903 2.3746 0.0000
Mn 0.0000 0.0000 4.8445
Mn 1.4903 2.3746 4.8445
Ir 0.0000 2.3746 2.8135
Ir 0.0000 2.3746 6.8756
Ir 1.4903 0.0000 2.8135
Ir 1.4903 0.0000 6.8756
CELL_PARAMETERS angstrom
2.9807 0.0000 0.0000
0.0000 4.7493 0.0000
0.0000 0.0000 9.6891
```


A geometry-optimized KMnIr2 structure. Source: Alexandria via LeMat-Bulk, functional PBE. Values from VASP.

Values from the calculation:
VASP energy: -6.35 eV/atom
magnetization: 4.35 μB/f.u.
polymorph energy (0 for the lowest one): 317 meV/atom
DFT formation energy: 0.651 eV/atom

Structure (Quantum ESPRESSO input):
```
&SYSTEM
  ibrav = 0, nat = 8, ntyp = 3
/
ATOMIC_SPECIES
K 39.10 K.upf
Mn 54.94 Mn.upf
Ir 192.22 Ir.upf
ATOMIC_POSITIONS angstrom
K 0.0000 0.0000 0.0000
K 1.3970 2.4867 4.9872
Mn 0.0000 0.0000 4.9872
Mn 1.3970 2.4867 0.0000
Ir 0.0000 2.4867 2.1904
Ir 0.0000 2.4867 7.7840
Ir 1.3970 0.0000 2.7968
Ir 1.3970 0.0000 7.1776
CELL_PARAMETERS angstrom
2.7940 0.0000 0.0000
0.0000 4.9734 0.0000
0.0000 0.0000 9.9743
```


A geometry-optimized KMnIr2 structure. Source: Alexandria via LeMat-Bulk, functional PBE. Values from VASP.

Values from the calculation:
VASP energy: -6.49 eV/atom
magnetization: 3.48 μB/f.u.
polymorph energy (0 for the lowest one): 171 meV/atom
DFT formation energy: 0.506 eV/atom

Structure (Quantum ESPRESSO input):
```
&SYSTEM
  ibrav = 0, nat = 8, ntyp = 3
/
ATOMIC_SPECIES
K 39.10 K.upf
Mn 54.94 Mn.upf
Ir 192.22 Ir.upf
ATOMIC_POSITIONS angstrom
K 0.0000 0.0000 0.0000
K 4.2405 1.4026 0.0000
Mn -0.4577 1.4026 3.6100
Mn 3.7828 0.0000 3.6100
Ir 1.3126 0.0000 4.6594
Ir 2.0125 1.4026 2.5607
Ir 5.5531 1.4026 4.6594
Ir 6.2530 0.0000 2.5607
CELL_PARAMETERS angstrom
8.4810 0.0000 0.0000
0.0000 2.8052 0.0000
-0.9154 0.0000 7.2201
```


A geometry-optimized KMnIr2 structure. Source: Alexandria via LeMat-Bulk, functional PBE. Values from VASP.

Values from the calculation:
VASP energy: -6.50 eV/atom
magnetization: 3.90 μB/f.u.
polymorph energy (0 for the lowest one): 166 meV/atom
DFT formation energy: 0.500 eV/atom

Structure (Quantum ESPRESSO input):
```
&SYSTEM
  ibrav = 0, nat = 8, ntyp = 3
/
ATOMIC_SPECIES
K 39.10 K.upf
Mn 54.94 Mn.upf
Ir 192.22 Ir.upf
ATOMIC_POSITIONS angstrom
K 0.0000 0.0000 0.0000
K 5.1804 1.4196 0.0000
Mn 2.5664 1.4196 1.9683
Mn 7.7467 0.0000 1.9683
Ir -1.0614 1.4196 3.2650
Ir 1.0890 0.0000 3.3281
Ir 4.1189 0.0000 3.2650
Ir 6.2694 1.4196 3.3281
CELL_PARAMETERS angstrom
10.3608 0.0000 0.0000
0.0000 2.8392 0.0000
-2.4811 0.0000 5.9556
```


A geometry-optimized KMn3Ir structure. Source: Alexandria via LeMat-Bulk, functional PBE. Values from VASP.

Values from the calculation:
VASP energy: -6.77 eV/atom
magnetization: 13.59 μB/f.u.
polymorph energy (0 for the lowest one): 0 meV/atom
DFT formation energy: 0.719 eV/atom

Structure (Quantum ESPRESSO input):
```
&SYSTEM
  ibrav = 0, nat = 5, ntyp = 3
/
ATOMIC_SPECIES
K 39.10 K.upf
Mn 54.94 Mn.upf
Ir 192.22 Ir.upf
ATOMIC_POSITIONS angstrom
K 0.0000 0.0000 0.0000
Mn 0.0000 2.5087 2.5087
Mn 2.5087 0.0000 2.5087
Mn 2.5087 2.5087 0.0000
Ir 2.5087 2.5087 2.5087
CELL_PARAMETERS angstrom
5.0174 0.0000 0.0000
0.0000 5.0174 0.0000
0.0000 0.0000 5.0174
```


A geometry-optimized KMnIr2 structure. Source: Alexandria via LeMat-Bulk, functional PBE. Values from VASP.

Values from the calculation:
VASP energy: -5.94 eV/atom
magnetization: 4.22 μB/f.u.
polymorph energy (0 for the lowest one): 718 meV/atom
DFT formation energy: 1.052 eV/atom

Structure (Quantum ESPRESSO input):
```
&SYSTEM
  ibrav = 0, nat = 4, ntyp = 3
/
ATOMIC_SPECIES
K 39.10 K.upf
Mn 54.94 Mn.upf
Ir 192.22 Ir.upf
ATOMIC_POSITIONS angstrom
K 0.0000 0.0000 0.0000
Mn 2.0038 2.0038 0.0000
Ir 0.0000 2.0038 2.1909
Ir 2.0038 0.0000 2.1909
CELL_PARAMETERS angstrom
4.0075 0.0000 0.0000
0.0000 4.0075 0.0000
0.0000 0.0000 4.3818
```


A geometry-optimized KMnIr2 structure. Source: Alexandria via LeMat-Bulk, functional PBE. Values from VASP.

Values from the calculation:
VASP energy: -5.97 eV/atom
magnetization: 2.77 μB/f.u.
polymorph energy (0 for the lowest one): 695 meV/atom
DFT formation energy: 1.029 eV/atom

Structure (Quantum ESPRESSO input):
```
&SYSTEM
  ibrav = 0, nat = 8, ntyp = 3
/
ATOMIC_SPECIES
K 39.10 K.upf
Mn 54.94 Mn.upf
Ir 192.22 Ir.upf
ATOMIC_POSITIONS angstrom
K 0.0000 0.0000 0.0000
K 2.3182 2.3182 3.2650
Mn 0.0000 2.3182 1.6325
Mn 2.3182 0.0000 4.8975
Ir 0.0000 0.0000 3.2650
Ir 0.0000 2.3182 4.8975
Ir 2.3182 0.0000 1.6325
Ir 2.3182 2.3182 0.0000
CELL_PARAMETERS angstrom
4.6363 0.0000 0.0000
0.0000 4.6363 0.0000
0.0000 0.0000 6.5300
```


A geometry-optimized KMnIr2 structure. Source: Alexandria via LeMat-Bulk, functional PBE. Values from VASP.

Values from the calculation:
VASP energy: -5.94 eV/atom
magnetization: 3.88 μB/f.u.
polymorph energy (0 for the lowest one): 722 meV/atom
DFT formation energy: 1.056 eV/atom

Structure (Quantum ESPRESSO input):
```
&SYSTEM
  ibrav = 0, nat = 4, ntyp = 3
/
ATOMIC_SPECIES
K 39.10 K.upf
Mn 54.94 Mn.upf
Ir 192.22 Ir.upf
ATOMIC_POSITIONS angstrom
K 0.0000 0.0000 0.0000
Mn 2.6925 2.6925 0.0000
Ir 0.0000 2.6925 1.2736
Ir 2.6925 0.0000 1.2736
CELL_PARAMETERS angstrom
5.3851 0.0000 0.0000
0.0000 5.3851 0.0000
0.0000 0.0000 2.5472
```


A geometry-optimized KMnIr2 structure. Source: Alexandria via LeMat-Bulk, functional PBE. Values from VASP.

Values from the calculation:
VASP energy: -6.58 eV/atom
magnetization: 4.50 μB/f.u.
polymorph energy (0 for the lowest one): 85 meV/atom
DFT formation energy: 0.420 eV/atom

Structure (Quantum ESPRESSO input):
```
&SYSTEM
  ibrav = 0, nat = 12, ntyp = 3
/
ATOMIC_SPECIES
K 39.10 K.upf
Mn 54.94 Mn.upf
Ir 192.22 Ir.upf
ATOMIC_POSITIONS angstrom
K 0.0000 0.0000 0.0000
K 0.0000 1.6635 19.2488
K 1.4407 0.8318 9.6244
Mn 0.0000 0.0000 14.4366
Mn 0.0000 1.6635 4.8122
Mn 1.4407 0.8318 24.0610
Ir 0.0000 0.0000 6.7827
Ir 0.0000 0.0000 22.0905
Ir 0.0000 1.6635 12.4661
Ir 0.0000 1.6635 26.0315
Ir 1.4407 0.8318 2.8417
Ir 1.4407 0.8318 16.4071
CELL_PARAMETERS angstrom
2.8813 0.0000 0.0000
-1.4407 2.4953 0.0000
0.0000 0.0000 28.8732
```


A geometry-optimized KMnIr2 structure. Source: Alexandria via LeMat-Bulk, functional PBE. Values from VASP.

Values from the calculation:
VASP energy: -6.10 eV/atom
magnetization: 4.53 μB/f.u.
polymorph energy (0 for the lowest one): 560 meV/atom
DFT formation energy: 0.895 eV/atom

Structure (Quantum ESPRESSO input):
```
&SYSTEM
  ibrav = 0, nat = 4, ntyp = 3
/
ATOMIC_SPECIES
K 39.10 K.upf
Mn 54.94 Mn.upf
Ir 192.22 Ir.upf
ATOMIC_POSITIONS angstrom
K 0.0000 0.0000 0.0000
Mn 1.3901 2.4462 0.0000
Ir 0.0000 2.4462 2.5165
Ir 1.3901 0.0000 2.5165
CELL_PARAMETERS angstrom
2.7803 0.0000 0.0000
0.0000 4.8924 0.0000
0.0000 0.0000 5.0331
```


A geometry-optimized K3MnIr structure. Source: Alexandria via LeMat-Bulk, functional PBE. Values from VASP.

Values from the calculation:
VASP energy: -3.09 eV/atom
magnetization: 4.64 μB/f.u.
polymorph energy (0 for the lowest one): 0 meV/atom
DFT formation energy: 1.175 eV/atom

Structure (Quantum ESPRESSO input):
```
&SYSTEM
  ibrav = 0, nat = 5, ntyp = 3
/
ATOMIC_SPECIES
K 39.10 K.upf
Mn 54.94 Mn.upf
Ir 192.22 Ir.upf
ATOMIC_POSITIONS angstrom
K 0.0000 0.0000 3.0663
K 0.0000 3.0663 0.0000
K 3.0663 0.0000 0.0000
Mn 3.0663 3.0663 3.0663
Ir 0.0000 0.0000 0.0000
CELL_PARAMETERS angstrom
6.1325 0.0000 0.0000
0.0000 6.1325 0.0000
0.0000 0.0000 6.1325
```


A geometry-optimized KMnIr2 structure. Source: Alexandria via LeMat-Bulk, functional PBE. Values from VASP.

Values from the calculation:
VASP energy: -6.02 eV/atom
magnetization: 3.69 μB/f.u.
polymorph energy (0 for the lowest one): 645 meV/atom
DFT formation energy: 0.979 eV/atom

Structure (Quantum ESPRESSO input):
```
&SYSTEM
  ibrav = 0, nat = 16, ntyp = 3
/
ATOMIC_SPECIES
K 39.10 K.upf
Mn 54.94 Mn.upf
Ir 192.22 Ir.upf
ATOMIC_POSITIONS angstrom
K 0.0000 0.0000 0.0000
K 0.0000 3.8417 1.2978
K 3.8417 0.0000 3.8934
K 3.8417 3.8417 2.5956
Mn 0.0000 0.0000 2.5956
Mn 0.0000 3.8417 3.8934
Mn 3.8417 0.0000 1.2978
Mn 3.8417 3.8417 0.0000
Ir 1.5034 1.9208 3.2445
Ir 1.9208 5.3451 4.5423
Ir 1.9208 6.1799 1.9467
Ir 2.3382 1.9208 0.6489
Ir 5.3451 5.7625 0.6489
Ir 5.7625 1.5034 1.9467
Ir 5.7625 2.3382 4.5423
Ir 6.1799 5.7625 3.2445
CELL_PARAMETERS angstrom
7.6834 0.0000 0.0000
0.0000 7.6834 0.0000
0.0000 0.0000 5.1912
```


A geometry-optimized KMnIr2 structure. Source: Alexandria via LeMat-Bulk, functional PBE. Values from VASP.

Values from the calculation:
VASP energy: -5.94 eV/atom
magnetization: 4.03 μB/f.u.
polymorph energy (0 for the lowest one): 720 meV/atom
DFT formation energy: 1.054 eV/atom

Structure (Quantum ESPRESSO input):
```
&SYSTEM
  ibrav = 0, nat = 8, ntyp = 3
/
ATOMIC_SPECIES
K 39.10 K.upf
Mn 54.94 Mn.upf
Ir 192.22 Ir.upf
ATOMIC_POSITIONS angstrom
K 0.0000 0.0000 0.0000
K 2.0387 2.0387 4.1886
Mn 0.0000 0.0000 4.1886
Mn 2.0387 2.0387 0.0000
Ir 0.0000 2.0387 2.0943
Ir 0.0000 2.0387 6.2829
Ir 2.0387 0.0000 2.0943
Ir 2.0387 0.0000 6.2829
CELL_PARAMETERS angstrom
4.0775 0.0000 0.0000
0.0000 4.0775 0.0000
0.0000 0.0000 8.3771
```


A geometry-optimized KMnIr2 structure. Source: Alexandria via LeMat-Bulk, functional PBE. Values from VASP.

Values from the calculation:
VASP energy: -6.66 eV/atom
magnetization: 2.92 μB/f.u.
polymorph energy (0 for the lowest one): 0 meV/atom
DFT formation energy: 0.334 eV/atom

Structure (Quantum ESPRESSO input):
```
&SYSTEM
  ibrav = 0, nat = 4, ntyp = 3
/
ATOMIC_SPECIES
K 39.10 K.upf
Mn 54.94 Mn.upf
Ir 192.22 Ir.upf
ATOMIC_POSITIONS angstrom
K 0.0000 0.0000 0.0000
Mn 0.0000 0.0000 4.3389
Ir 1.4261 1.4261 2.7408
Ir 1.4261 1.4261 5.9371
CELL_PARAMETERS angstrom
2.8522 0.0000 0.0000
0.0000 2.8522 0.0000
0.0000 0.0000 8.6778
```


A geometry-optimized KMn3Ir structure. Source: Alexandria via LeMat-Bulk, functional PBE. Values from VASP.

Values from the calculation:
VASP energy: -5.14 eV/atom
magnetization: 12.01 μB/f.u.
polymorph energy (0 for the lowest one): 1638 meV/atom
DFT formation energy: 2.357 eV/atom

Structure (Quantum ESPRESSO input):
```
&SYSTEM
  ibrav = 0, nat = 5, ntyp = 3
/
ATOMIC_SPECIES
K 39.10 K.upf
Mn 54.94 Mn.upf
Ir 192.22 Ir.upf
ATOMIC_POSITIONS angstrom
K 0.0000 0.0000 0.0000
Mn 0.0000 0.0000 2.2500
Mn 0.0000 2.2500 0.0000
Mn 2.2500 0.0000 0.0000
Ir 2.2500 2.2500 2.2500
CELL_PARAMETERS angstrom
4.5001 0.0000 0.0000
0.0000 4.5001 0.0000
0.0000 0.0000 4.5001
```


A geometry-optimized KMnIr2 structure. Source: Alexandria via LeMat-Bulk, functional PBE. Values from VASP.

Values from the calculation:
VASP energy: -6.48 eV/atom
magnetization: 4.01 μB/f.u.
polymorph energy (0 for the lowest one): 186 meV/atom
DFT formation energy: 0.521 eV/atom

Structure (Quantum ESPRESSO input):
```
&SYSTEM
  ibrav = 0, nat = 4, ntyp = 3
/
ATOMIC_SPECIES
K 39.10 K.upf
Mn 54.94 Mn.upf
Ir 192.22 Ir.upf
ATOMIC_POSITIONS angstrom
K 0.0000 0.0000 0.0000
Mn 1.4129 1.4129 3.2474
Ir 0.0000 0.0000 5.0602
Ir 1.4129 1.4129 6.8466
CELL_PARAMETERS angstrom
2.8258 0.0000 0.0000
0.0000 2.8258 0.0000
0.0000 0.0000 9.5385
```


A geometry-optimized KMnIr2 structure. Source: Alexandria via LeMat-Bulk, functional PBE. Values from VASP.

Values from the calculation:
VASP energy: -6.27 eV/atom
magnetization: 3.30 μB/f.u.
polymorph energy (0 for the lowest one): 396 meV/atom
DFT formation energy: 0.730 eV/atom

Structure (Quantum ESPRESSO input):
```
&SYSTEM
  ibrav = 0, nat = 8, ntyp = 3
/
ATOMIC_SPECIES
K 39.10 K.upf
Mn 54.94 Mn.upf
Ir 192.22 Ir.upf
ATOMIC_POSITIONS angstrom
K 0.0000 0.0000 0.0000
K 1.4346 2.3894 0.0000
Mn 0.0000 2.3894 7.1589
Mn 1.4346 0.0000 7.1589
Ir 0.0000 0.0000 5.1094
Ir 0.0000 2.3894 2.7723
Ir 1.4346 0.0000 2.7723
Ir 1.4346 2.3894 5.1094
CELL_PARAMETERS angstrom
2.8691 0.0000 0.0000
0.0000 4.7788 0.0000
0.0000 0.0000 10.2673
```


A geometry-optimized K4MnIr structure. Source: Alexandria via LeMat-Bulk, functional PBE. Values from VASP.

Values from the calculation:
VASP energy: -2.52 eV/atom
magnetization: 5.51 μB/f.u.
DFT formation energy: 1.218 eV/atom

Structure (Quantum ESPRESSO input):
```
&SYSTEM
  ibrav = 0, nat = 6, ntyp = 3
/
ATOMIC_SPECIES
K 39.10 K.upf
Mn 54.94 Mn.upf
Ir 192.22 Ir.upf
ATOMIC_POSITIONS angstrom
K 3.4921 3.4921 3.4921
K 5.7805 5.7805 3.4921
K 5.7805 3.4921 5.7805
K 3.4921 5.7805 5.7805
Mn 0.0000 0.0000 0.0000
Ir 6.9545 6.9545 6.9545
CELL_PARAMETERS angstrom
0.0000 4.6363 4.6363
4.6363 0.0000 4.6363
4.6363 4.6363 0.0000
```


A geometry-optimized KMnIr2N structure. Source: Alexandria via LeMat-Bulk, functional PBE. Values from VASP.

Values from the calculation:
VASP energy: -2.96 eV/atom
magnetization: 0.61 μB/f.u.
uncorrected formation energy: 4298 meV per atom

Structure (Quantum ESPRESSO input):
```
&SYSTEM
  ibrav = 0, nat = 5, ntyp = 4
/
ATOMIC_SPECIES
K 39.10 K.upf
Mn 54.94 Mn.upf
Ir 192.22 Ir.upf
N 14.01 N.upf
ATOMIC_POSITIONS angstrom
K 0.0000 0.0000 0.0000
Mn 0.0000 0.0000 2.2103
Ir 0.0000 2.3948 0.0000
Ir 2.3948 0.0000 0.0000
N 2.3948 2.3948 2.2103
CELL_PARAMETERS angstrom
4.7897 0.0000 0.0000
0.0000 4.7897 0.0000
0.0000 0.0000 4.4206
```